# 1
A relaxed structure of SrLiTmS3, computed with GGA-PBE.

## Properties
Energy above the lowest structure with this stoichiometry (meV/atom): 0
Size of the total moment (μB per atom): 0.001
ρ (g cm⁻³): 4.5
Total DFT energy (no corrections) (eV/cell): -128.66

a = 16.8076 Å, b = 3.9322 Å, c = 8.2756 Å
α = 90.00°, β = 104.26°, γ = 90.00°
Space group C2/m (No. 12)
One atom of each set of equivalent atoms:
Sr: 0.1341 0.0000 0.0658
Li: 0.0077 0.5000 0.7020
Tm: 0.1651 0.0000 0.5847
S: 0.0000 0.0000 0.5000
S: 0.0000 0.5000 0.0000
S: 0.1687 0.5000 0.3602
S: 0.1734 0.5000 0.8091



# 2
A relaxed structure of SrLiTmS3, computed with GGA-PBE.

## Properties
Energy above the lowest structure with this stoichiometry (meV/atom): 54
Size of the total moment (μB per atom): 0.001
ρ (g cm⁻³): 4.4
Total DFT energy (no corrections) (eV/cell): -63.68

a = 7.5983 Å, b = 3.9488 Å, c = 9.3506 Å
α = 90.00°, β = 105.92°, γ = 90.00°
Space group P2_1/m (No. 11)
One atom of each set of equivalent atoms:
Sr: 0.2486 0.2500 0.2908
Li: 0.0850 0.2500 0.5886
Tm: 0.3069 0.7500 0.8472
S: 0.0671 0.2500 0.8365
S: 0.2444 0.7500 0.5437
S: 0.4408 0.7500 0.1459



# 3
A relaxed structure of SrLiTmS3, computed with GGA-PBE.

## Properties
Energy above the lowest structure with this stoichiometry (meV/atom): 21
Size of the total moment (μB per atom): 0.000
ρ (g cm⁻³): 4.6
Total DFT energy (no corrections) (eV/cell): -128.14

a = 3.9725 Å, b = 12.9751 Å, c = 10.1189 Å
α = 90.00°, β = 90.00°, γ = 90.00°
Space group Cmcm (No. 63)
One atom of each set of equivalent atoms:
Sr: 0.0000 0.2490 0.2500
Li: 0.0000 0.0240 0.7500
Tm: 0.0000 0.5000 0.0000
S: 0.0000 0.1337 0.5648
S: 0.0000 0.4235 0.7500



# 4
A relaxed structure of LiTa3S5, computed with GGA-PBE.

## Properties
Size of the total moment (μB per atom): 0.000
ρ (g cm⁻³): 5.9
Total DFT energy (no corrections) (eV/cell): -63.68

a = 5.6773 Å, b = 5.6773 Å, c = 7.1488 Å
α = 90.00°, β = 90.00°, γ = 120.00°
Space group P6/mmm (No. 191)
One atom of each set of equivalent atoms:
Li: 0.0000 0.0000 0.0000
Ta: 0.0000 0.5000 0.5000
S: 0.0000 0.0000 0.5000
S: 0.3333 0.6667 0.2351



# 5
A relaxed structure of LiTb3S4, computed with GGA-PBE.

## Properties
Size of the total moment (μB per atom): 0.001
ρ (g cm⁻³): 6.1
Total DFT energy (no corrections) (eV/cell): -95.73

a = 7.7864 Å, b = 11.0000 Å, c = 3.8922 Å
α = 90.00°, β = 90.00°, γ = 90.00°
Space group Cmmm (No. 65)
One atom of each set of equivalent atoms:
Li: 0.0000 0.0000 0.0000
Tb: 0.0000 0.5000 0.0000
Tb: 0.2500 0.2500 0.5000
S: 0.0000 0.2454 0.0000
S: 0.2446 0.0000 0.5000



# 6
A relaxed structure of LiTbS2, computed with GGA-PBE.

## Properties
Size of the total moment (μB per atom): 0.000
ρ (g cm⁻³): 4.7
Total DFT energy (no corrections) (eV/cell): -66.53

a = 3.9205 Å, b = 3.9205 Å, c = 18.4759 Å
α = 90.00°, β = 90.00°, γ = 120.00°
Space group R-3m (No. 166, hexagonal axes)
One atom of each set of equivalent atoms:
Li: 0.0000 0.0000 0.0000
Tb: 0.0000 0.0000 0.5000
S: 0.0000 0.0000 0.2505



# 7
A relaxed structure of LiTbZnS3, computed with GGA-PBE.

## Properties
Energy above the lowest structure with this stoichiometry (meV/atom): 48
Size of the total moment (μB per atom): 0.000
ρ (g cm⁻³): 4.3
Total DFT energy (no corrections) (eV/cell): -113.62

a = 3.8444 Å, b = 12.2580 Å, c = 10.6196 Å
α = 90.00°, β = 90.00°, γ = 90.00°
Space group Cmcm (No. 63)
One atom of each set of equivalent atoms:
Li: 0.0000 0.2365 0.2500
Tb: 0.0000 0.0000 0.0000
Zn: 0.0000 0.4744 0.7500
S: 0.0000 0.0908 0.7500
S: 0.0000 0.3584 0.5791



# 8
A relaxed structure of LiTbZnS3, computed with GGA-PBE.

## Properties
Energy above the lowest structure with this stoichiometry (meV/atom): 25
Size of the total moment (μB per atom): 0.000
ρ (g cm⁻³): 4.2
Total DFT energy (no corrections) (eV/cell): -114.17

a = 10.7282 Å, b = 3.8938 Å, c = 12.3425 Å
α = 90.00°, β = 90.00°, γ = 90.00°
Space group Pnma (No. 62)
One atom of each set of equivalent atoms:
Li: 0.1352 0.2500 0.0188
Tb: 0.0127 0.2500 0.7319
Zn: 0.2359 0.2500 0.2888
S: 0.0643 0.2500 0.3966
S: 0.0786 0.7500 0.8884
S: 0.2334 0.7500 0.1713